This record from the Open Quantum Materials Database describes crystalline LaNdP2Pd2O2 at its relaxed geometry. The functional is PBE.

extended XYZ file:
```
8
Lattice="4.140 0.000 0.000 0.000 4.140 0.000 0.000 0.000 8.154" Properties=species:S:1:pos:R:3 pbc="T T T"
O 0.000 2.070 0.029
P 2.070 2.070 2.829
Nd 0.000 0.000 1.175
La 2.070 2.070 7.007
O 2.070 0.000 0.029
Pd 2.070 0.000 4.052
Pd 0.000 2.070 4.052
P 0.000 0.000 5.290
```

Calculated values
Calculated density   7011 kg/m3
Volume   140 Å³/cell
E_tot   -55.95 eV per cell
Crystal system   tetragonal